Material: Na2LaGeMo
Method: DFT, PBE
State: optimized geometry

```
Na2LaGeMo
1.0
5.767 0.000 0.000
0.000 5.767 0.000
0.000 0.000 6.170
Na La Ge Mo
2 1 1 1
Cartesian
0.000 2.884 0.000 Na
2.884 0.000 0.000 Na
0.000 0.000 3.085 La
0.000 0.000 0.000 Ge
2.884 2.884 3.085 Mo
```

Computed properties:
Its formation energy is 0.96 eV per atom.


Material: LaGeMoW2
Method: DFT, PBE
State: optimized geometry

```
LaGeMoW2
1.0
4.745 0.000 0.000
0.000 4.745 0.000
0.000 0.000 5.547
La Ge Mo W
1 1 1 2
Cartesian
0.000 0.000 0.000 La
2.373 2.373 0.000 Ge
0.000 0.000 2.773 Mo
0.000 2.373 2.773 W
2.373 0.000 2.773 W
```

Computed properties:
Its formation energy is 1.43 eV per atom.


Material: La4Ge2N
Method: DFT, PBE
State: optimized geometry

```
La4Ge2N
1.0
-2.456 2.456 8.064
2.456 -2.456 8.064
2.456 2.456 -8.064
La Ge N
4 2 1
Cartesian
2.456 0.000 0.000 La
0.000 0.000 2.784 La
0.000 2.456 0.000 La
0.000 0.000 13.345 La
0.000 0.000 5.860 Ge
0.000 0.000 10.269 Ge
0.000 0.000 0.000 N
```

Computed properties:
For the formation energy from raw total energies, the calculation gives -0.88 eV/atom. The value obtained for the excess energy over the best structure of this formula in the dataset is 17 meV per atom.


Material: La6Ge3N2
Method: DFT, PBE
State: optimized geometry

```
La6Ge3N2
1.0
-2.451 2.451 12.503
2.451 -2.451 12.503
2.451 2.451 -12.503
La Ge N
6 3 2
Cartesian
2.451 0.000 2.109 La
0.000 0.000 4.993 La
2.451 0.000 10.395 La
0.000 2.451 2.109 La
0.000 0.000 20.013 La
0.000 2.451 10.395 La
0.000 0.000 8.185 Ge
0.000 0.000 12.503 Ge
0.000 0.000 16.821 Ge
0.000 0.000 2.671 N
0.000 0.000 22.336 N
```

Computed properties:
For the formation energy from raw total energies, the calculation gives -0.98 eV/atom.


Material: La6GeN3
Method: DFT, PBE
State: optimized geometry

```
La6GeN3
1.0
12.315 0.000 0.000
0.000 3.653 0.000
-4.752 0.000 11.543
La Ge N
12 2 6
Cartesian
-1.701 0.913 4.156 La
-2.633 2.740 10.780 La
1.862 2.740 3.498 La
-0.141 0.913 8.930 La
4.896 0.913 0.949 La
2.539 0.913 6.698 La
5.024 2.740 4.845 La
2.667 2.740 10.594 La
7.704 2.740 2.613 La
5.701 0.913 8.045 La
10.196 0.913 0.763 La
9.264 2.740 7.386 La
-0.068 2.740 6.152 Ge
7.631 0.913 5.391 Ge
-2.566 0.913 9.119 N
0.013 2.740 10.786 N
3.205 0.913 4.280 N
4.358 2.740 7.263 N
7.550 0.913 0.757 N
10.129 2.740 2.424 N
```

Computed properties:
For the formation energy from raw total energies, the calculation gives -0.90 eV/atom.


Material: La4GeN
Method: DFT, PBE
State: optimized geometry

```
La4GeN
1.0
-4.969 4.969 3.996
4.969 -4.969 3.996
4.969 4.969 -3.996
La Ge N
8 2 2
Cartesian
3.083 2.484 -0.388 La
6.855 2.484 -0.388 La
0.000 0.598 1.610 La
4.969 0.598 2.386 La
0.000 4.370 1.610 La
4.969 4.370 2.386 La
-1.886 2.484 4.384 La
1.886 2.484 4.384 La
4.969 -2.484 2.997 Ge
0.000 7.453 0.999 Ge
4.969 2.484 0.999 N
0.000 2.484 2.997 N
```

Computed properties:
For the formation energy from raw total energies, the calculation gives -0.67 eV/atom. The value obtained for the excess energy over the best structure of this formula in the dataset is 0 meV per atom.


Material: La3GeN4
Method: DFT, PBE
State: optimized geometry

```
La3GeN4
1.0
7.618 0.000 0.000
0.000 7.018 0.000
0.000 0.000 5.592
La Ge N
6 2 8
Cartesian
0.000 0.936 0.000 La
1.875 2.401 2.822 La
1.934 4.617 0.026 La
3.809 6.082 2.796 La
5.684 4.617 0.026 La
5.743 2.401 2.822 La
0.000 5.825 2.660 Ge
3.809 1.193 5.456 Ge
0.000 0.718 3.019 N
0.000 5.715 0.736 N
1.631 4.921 3.147 N
2.178 2.097 0.351 N
3.809 1.303 3.532 N
3.809 6.300 0.223 N
5.440 2.097 0.351 N
5.987 4.921 3.147 N
```

Computed properties:
For the formation energy from raw total energies, the calculation gives -0.90 eV/atom.


Material: La3GeN5
Method: DFT, PBE
State: optimized geometry

```
La3GeN5
1.0
-3.450 3.450 5.777
3.450 -3.450 5.777
3.450 3.450 -5.777
La Ge N
6 2 10
Cartesian
4.675 1.225 0.000 La
0.000 0.000 2.888 La
1.225 2.226 0.000 La
2.226 1.225 5.777 La
0.000 0.000 8.665 La
-1.225 2.226 5.777 La
3.450 0.000 2.888 Ge
0.000 3.450 2.888 Ge
0.000 0.000 0.000 N
2.429 1.021 -1.703 N
2.429 -1.021 4.074 N
2.429 1.021 1.703 N
2.429 -1.021 7.480 N
0.000 0.000 5.777 N
1.021 4.472 -1.703 N
1.021 2.429 4.074 N
1.021 4.472 1.703 N
1.021 2.429 7.480 N
```

Computed properties:
For the formation energy from raw total energies, the calculation gives -0.77 eV/atom.